Compound: Sr2LiTc
Source: Alexandria via LeMat-Bulk
Functional: PBE
Structure: optimized geometry

Cell: 3.6273 3.6261 9.3174 Å, 90.00 90.00 90.00°
Sites, in units of the cell vectors:
Li  0.5000  0.5000  0.7500
Sr  0.0000  0.0000  0.0419
Tc  0.5000  0.5000  0.2500
Sr  0.0000  0.0000  0.4581

## Properties
- magnetization (μB/f.u.) = 1.5
- formation energy from the elements (eV/atom) = 0.590
- DFT total energy (eV per cell) = -13.28